(1)
# PrSmCoHg (GGA-PBE, relaxed)
data_PrSmCoHg
_space_group_name_H-M_alt 'P 1'
_space_group_IT_number 1
_space_group_name_Hall 'P 1'
_cell_length_a 5.194
_cell_length_b 5.194
_cell_length_c 5.194
_cell_angle_alpha 60.00
_cell_angle_beta 60.00
_cell_angle_gamma 60.00
loop_
_atom_site_label
_atom_site_type_symbol
_atom_site_fract_x
_atom_site_fract_y
_atom_site_fract_z
Pr1 Pr 0.000 0.000 0.000
Sm1 Sm 0.500 0.500 0.500
Co1 Co 0.750 0.750 0.750
Hg1 Hg 0.250 0.250 0.250
# Energy relative to the elements = -0.131 eV per atom
# SG = No. 216
# Magnetization = 0.6 μB/cell

(2)
# TbPrCoHg (GGA-PBE, relaxed)
data_TbPrCoHg
_space_group_name_H-M_alt 'P 1'
_space_group_IT_number 1
_space_group_name_Hall 'P 1'
_cell_length_a 5.151
_cell_length_b 5.151
_cell_length_c 5.151
_cell_angle_alpha 60.00
_cell_angle_beta 60.00
_cell_angle_gamma 60.00
loop_
_atom_site_label
_atom_site_type_symbol
_atom_site_fract_x
_atom_site_fract_y
_atom_site_fract_z
Tb1 Tb 0.000 0.000 0.000
Pr1 Pr 0.500 0.500 0.500
Co1 Co 0.750 0.750 0.750
Hg1 Hg 0.250 0.250 0.250
# Energy relative to the elements = -0.150 eV per atom
# SG = No. 216
# Magnetization = 0.5 μB/cell

(3)
# PrThCoHg (GGA-PBE, relaxed)
data_PrThCoHg
_space_group_name_H-M_alt 'P 1'
_space_group_IT_number 1
_space_group_name_Hall 'P 1'
_cell_length_a 3.982
_cell_length_b 3.982
_cell_length_c 8.271
_cell_angle_alpha 103.93
_cell_angle_beta 103.93
_cell_angle_gamma 60.09
loop_
_atom_site_label
_atom_site_type_symbol
_atom_site_fract_x
_atom_site_fract_y
_atom_site_fract_z
Pr1 Pr 0.000 0.000 0.000
Th1 Th 0.205 0.205 0.616
Co1 Co 0.595 0.595 0.786
Hg1 Hg 0.770 0.770 0.310
# Energy relative to the elements = -0.242 eV per atom
# SG = No. 8
# Magnetization = 0.0 μB/cell

Which of these has the highest magnetization?
PrSmCoHg

The lowest energy relative to the elements belongs to which entry?
PrThCoHg

Among the records above, which one has the lowest magnetization?
PrThCoHg

Copy entry 3 word for word.
# PrThCoHg (GGA-PBE, relaxed)
data_PrThCoHg
_space_group_name_H-M_alt 'P 1'
_space_group_IT_number 1
_space_group_name_Hall 'P 1'
_cell_length_a 3.982
_cell_length_b 3.982
_cell_length_c 8.271
_cell_angle_alpha 103.93
_cell_angle_beta 103.93
_cell_angle_gamma 60.09
loop_
_atom_site_label
_atom_site_type_symbol
_atom_site_fract_x
_atom_site_fract_y
_atom_site_fract_z
Pr1 Pr 0.000 0.000 0.000
Th1 Th 0.205 0.205 0.616
Co1 Co 0.595 0.595 0.786
Hg1 Hg 0.770 0.770 0.310
# Energy relative to the elements = -0.242 eV per atom
# SG = No. 8
# Magnetization = 0.0 μB/cell